VASP calculation (GGA-PBE) on a relaxed KZnFeS3 crystal.

Values from the calculation:
- energy above the most stable polymorph in this dataset (meV per atom) = 0.0
- total magnetization (Bohr magnetons per cell) = 12.0

Lattice parameters (Å, degrees): 10.911 3.541 14.248 90.00 90.00 90.00
Site moments in Bohr magnetons follow the coordinates.
Positions (direct):
S 0.796 0.750 0.645  0.14
S 0.943 0.250 0.837  0.01
K 0.232 0.250 0.027  0.00
Zn 0.247 0.750 0.257  0.03
S 0.416 0.750 0.160  0.00
S 0.557 0.750 0.337  0.01
S 0.204 0.250 0.355  0.14
S 0.443 0.250 0.663  0.01
Fe 0.981 0.750 0.733  2.58
S 0.916 0.750 0.340  0.00
K 0.268 0.750 0.527  0.00
S 0.704 0.250 0.145  0.14
Zn 0.253 0.250 0.757  0.03
S 0.057 0.750 0.163  0.01
Fe 0.519 0.250 0.233  2.58
Zn 0.753 0.250 0.743  0.03
Zn 0.747 0.750 0.243  0.03
K 0.768 0.750 0.973  0.00
S 0.084 0.250 0.660  0.00
S 0.296 0.750 0.855  0.14
K 0.732 0.250 0.473  0.00
Fe 0.019 0.250 0.267  2.58
Fe 0.481 0.750 0.767  2.58
S 0.584 0.250 0.840  0.00



VASP calculation (GGA-PBE) on a relaxed KErCoTe3 crystal.

Values from the calculation:
- energy above the most stable polymorph in this dataset (meV per atom) = 0.0
- total magnetization (Bohr magnetons per cell) = 3.8

Lattice parameters (Å, degrees): 9.837 4.211 10.056 90.00 109.85 90.00
Site moments in Bohr magnetons follow the coordinates.
Positions (direct):
Te 0.038 0.250 0.821  0.01
Te 0.694 0.750 0.530  0.07
Te 0.394 0.750 0.145  0.08
Co 0.575 0.250 0.588  1.48
Er 0.171 0.250 0.142  0.03
Te 0.606 0.250 0.855  0.08
Er 0.829 0.750 0.858  0.03
Te 0.962 0.750 0.179  0.01
K 0.298 0.750 0.765  0.00
Co 0.425 0.750 0.412  1.48
K 0.702 0.250 0.235  0.00
Te 0.306 0.250 0.470  0.07



VASP calculation (GGA-PBE) on a relaxed GdTmSn crystal.

Values from the calculation:
- energy above the most stable polymorph in this dataset (meV per atom) = 0.0
- total magnetization (Bohr magnetons per cell) = 0.0

Lattice parameters (Å, degrees): 5.117 5.117 5.117 60.00 60.00 60.00
Positions (direct):
Tm 0.000 0.000 0.000
Sn 0.250 0.250 0.250
Gd 0.500 0.500 0.500



VASP calculation (GGA-PBE) on a relaxed MgCdCoSn crystal.

Values from the calculation:
- energy above the most stable polymorph in this dataset (meV per atom) = 0.0
- total magnetization (Bohr magnetons per cell) = 0.0

Lattice parameters (Å, degrees): 4.642 4.642 4.642 60.00 60.00 60.00
Positions (direct):
Sn 0.000 0.000 0.000
Co 0.750 0.750 0.750
Cd 0.500 0.500 0.500
Mg 0.250 0.250 0.250



VASP calculation (GGA-PBE) on a relaxed InCoReAg crystal.

Values from the calculation:
- energy above the most stable polymorph in this dataset (meV per atom) = 0.0
- total magnetization (Bohr magnetons per cell) = 2.0

Lattice parameters (Å, degrees): 4.488 4.488 4.488 60.00 60.00 60.00
Positions (direct):
Co 0.750 0.750 0.750
Ag 0.250 0.250 0.250
In 0.000 0.000 0.000
Re 0.500 0.500 0.500



VASP calculation (GGA-PBE) on a relaxed CdH crystal.

Values from the calculation:
- energy above the most stable polymorph in this dataset (meV per atom) = 94.1

Lattice parameters (Å, degrees): 3.367 3.367 3.367 60.00 60.00 60.00
Positions (direct):
H 0.500 0.500 0.500
Cd 0.000 0.000 0.000